(1)
# LiRe3H | the Alexandria database | PBE | optimized geometry
# - Total DFT energy (no corrections): -6.2012 eV per atom
# - Offset from the most stable computed form: 1.826 eV/atom
data_LiRe3H
_chemical_formula_sum 'Li1 Re3 H1'
_cell_length_a 4.091
_cell_length_b 4.091
_cell_length_c 4.091
_cell_angle_alpha 90.00
_cell_angle_beta 90.00
_cell_angle_gamma 90.00
_symmetry_space_group_name_H-M 'P m -3 m'
_symmetry_Int_Tables_number 221
_symmetry_space_group_name_Hall '-P 4 2 3'
loop_
_atom_site_label
_atom_site_type_symbol
_atom_site_fract_x
_atom_site_fract_y
_atom_site_fract_z
Li1 Li 0.000 0.000 0.000
Re1 Re 0.000 0.000 0.500
H1 H 0.500 0.500 0.500

---

(2)
# La3Se | the Alexandria database | PBE | optimized geometry
# - Total DFT energy (no corrections): -5.1032 eV per atom
# - ΔE_f (raw): -536.4 meV per atom
data_La3Se
_chemical_formula_sum 'La9 Se3'
_cell_length_a 10.4267
_cell_length_b 10.4267
_cell_length_c 3.8531
_cell_angle_alpha 90.00
_cell_angle_beta 90.00
_cell_angle_gamma 120.00
_symmetry_space_group_name_H-M 'R -3 m'
_symmetry_Int_Tables_number 166
_symmetry_space_group_name_Hall '-R 3 2"'
loop_
_atom_site_label
_atom_site_type_symbol
_atom_site_fract_x
_atom_site_fract_y
_atom_site_fract_z
La1 La 0.0000 0.5000 0.0000
Se1 Se 0.0000 0.0000 0.0000